(1)
# SmAgTe3Pb

An optimized crystal structure of SmAgTe3Pb (GGA-PBE, OQMD).

The space group is Cmcm (No. 63) and the conventional cell measures 4.392, 14.860 and 11.423 Å, with angles of 90.00, 90.00 and 90.00 degrees. The asymmetric unit holds Sm at (0.000, 0.000, 0.000), Ag at (0.000, 0.472, 0.250), Te at (0.000, 0.095, 0.250), Te at (0.000, 0.353, 0.058) and Pb at (0.000, 0.232, 0.750).


(2)
# Ag2Sn3Pb2

An optimized crystal structure of Ag2Sn3Pb2 (GGA-PBE, OQMD).

The space group is R3m (No. 160, hexagonal axes) and the conventional cell measures 5.1763, 5.1763 and 24.9874 Å, with angles of 90.00, 90.00 and 120.00 degrees. The asymmetric unit holds Ag at (0.0000, 0.0000, 0.0000), Ag at (0.0000, 0.0000, 0.4922), Sn at (0.0000, 0.0000, 0.3697), Sn at (0.0000, 0.0000, 0.6253), Sn at (0.0000, 0.0000, 0.8725), Pb at (0.0000, 0.0000, 0.2350) and Pb at (0.0000, 0.0000, 0.7520).


(3)
# AgSnPb2

An optimized crystal structure of AgSnPb2 (GGA-PBE, OQMD).

The space group is F-43m (No. 216) and the conventional cell measures 7.562, 7.562 and 7.562 Å, with angles of 90.00, 90.00 and 90.00 degrees. The asymmetric unit holds Ag at (0.000, 0.000, 0.000), Sn at (0.250, 0.250, 0.750), Pb at (0.000, 0.000, 0.500) and Pb at (0.250, 0.250, 0.250).


(4)
# AgSnPb

An optimized crystal structure of AgSnPb (GGA-PBE, OQMD).

The space group is F-43m (No. 216) and the conventional cell measures 7.030, 7.030 and 7.030 Å, with angles of 90.00, 90.00 and 90.00 degrees. The asymmetric unit holds Ag at (0.000, 0.000, 0.000), Sn at (0.250, 0.250, 0.250) and Pb at (0.000, 0.000, 0.500).


In order of appearance, electronic total energy = -0.1537 -0.1255 -0.1255 -0.1218 hartree per atom.